Computed, not measured: a geometry-optimized TbCe2NdBi4 structure at the GGA-PBE level of DFT.

The value obtained for the formation energy is -0.8515 eV per atom. The value obtained for the electronic total energy is -5.450 eV per atom.

Unit cell a=7.9099 b=4.5748 c=7.9446 alpha=90.00 beta=109.44 gamma=90.00
Space group P2/m (No. 10)
Symmetry-distinct sites (fractional):
Tb (0.0000, 0.0000, 0.0000)
Ce (0.5000, 0.0000, 0.5000)
Ce (0.5000, 0.5000, 0.0000)
Nd (0.0000, 0.5000, 0.5000)
Bi (0.2471, 0.5000, 0.2452)
Bi (0.2498, 0.0000, 0.7535)